1.
# NiGe3Pd

A relaxed structure of NiGe3Pd (PBE-GGA, Alexandria via LeMat-Bulk).

Structure (CIF):
```
data_NiGe3Pd
_cell_length_a 4.8003
_cell_length_b 4.8003
_cell_length_c 4.8003
_cell_angle_alpha 90.00
_cell_angle_beta 90.00
_cell_angle_gamma 90.00
_space_group_name_H-M_alt 'P 1'
_space_group_IT_number 1
loop_
_space_group_symop_operation_xyz
'x,y,z'
loop_
_atom_site_label
_atom_site_type_symbol
_atom_site_fract_x
_atom_site_fract_y
_atom_site_fract_z
Ge1 Ge 0.0000 0.5000 0.0000
Pd1 Pd 0.0000 0.0000 0.0000
Ni1 Ni 0.5000 0.5000 0.5000
Ge2 Ge 0.0000 0.0000 0.5000
Ge3 Ge 0.5000 0.0000 0.0000
```

**Calculated formation energy**: 0.714 eV/atom
**Density of states at the Fermi level**: 10.49 states/eV/f.u.

=====

2.
# Zr2PtW

A relaxed structure of Zr2PtW (PBE-GGA, Alexandria via LeMat-Bulk).

Structure (CIF):
```
data_Zr2PtW
_cell_length_a 4.6936
_cell_length_b 4.6936
_cell_length_c 4.6936
_cell_angle_alpha 60.00
_cell_angle_beta 60.00
_cell_angle_gamma 60.00
_space_group_name_H-M_alt 'P 1'
_space_group_IT_number 1
loop_
_space_group_symop_operation_xyz
'x,y,z'
loop_
_atom_site_label
_atom_site_type_symbol
_atom_site_fract_x
_atom_site_fract_y
_atom_site_fract_z
Zr1 Zr 0.2500 0.2500 0.2500
Pt1 Pt 0.5000 0.5000 0.5000
W1 W 0.7500 0.7500 0.7500
Zr2 Zr 0.0000 0.0000 0.0000
```

**Calculated formation energy**: -0.135 eV/atom
**Density of states at the Fermi level**: 4.54 states/eV/f.u.

=====

3.
# Zr2Zn2Rh

A relaxed structure of Zr2Zn2Rh (PBE-GGA, Alexandria via LeMat-Bulk).

Structure (CIF):
```
data_Zr2Zn2Rh
_cell_length_a 6.8074
_cell_length_b 6.8074
_cell_length_c 3.8133
_cell_angle_alpha 90.00
_cell_angle_beta 90.00
_cell_angle_gamma 90.00
_space_group_name_H-M_alt 'P 1'
_space_group_IT_number 1
loop_
_space_group_symop_operation_xyz
'x,y,z'
loop_
_atom_site_label
_atom_site_type_symbol
_atom_site_fract_x
_atom_site_fract_y
_atom_site_fract_z
Zn1 Zn 0.3720 0.8720 0.0000
Zr1 Zr 0.8255 0.3255 0.5000
Zn2 Zn 0.6280 0.1280 0.0000
Zn3 Zn 0.1280 0.3720 0.0000
Zr2 Zr 0.1745 0.6745 0.5000
Zn4 Zn 0.8720 0.6280 0.0000
Zr3 Zr 0.3255 0.1745 0.5000
Rh1 Rh 0.5000 0.5000 0.0000
Zr4 Zr 0.6745 0.8255 0.5000
Rh2 Rh 0.0000 0.0000 0.0000
```

**Calculated formation energy**: -0.369 eV/atom
**Density of states at the Fermi level**: 4.11 states/eV/f.u.

=====

4.
# NaLaCo3

A relaxed structure of NaLaCo3 (PBE-GGA, Alexandria via LeMat-Bulk).

Structure (CIF):
```
data_NaLaCo3
_cell_length_a 4.6957
_cell_length_b 4.6957
_cell_length_c 4.6957
_cell_angle_alpha 90.00
_cell_angle_beta 90.00
_cell_angle_gamma 90.00
_space_group_name_H-M_alt 'P 1'
_space_group_IT_number 1
loop_
_space_group_symop_operation_xyz
'x,y,z'
loop_
_atom_site_label
_atom_site_type_symbol
_atom_site_fract_x
_atom_site_fract_y
_atom_site_fract_z
Co1 Co 0.0000 0.0000 0.5000
La1 La 0.0000 0.0000 0.0000
Co2 Co 0.0000 0.5000 0.0000
Co3 Co 0.5000 0.0000 0.0000
Na1 Na 0.5000 0.5000 0.5000
```

**Calculated formation energy**: 1.378 eV/atom
**Density of states at the Fermi level**: 2.73 states/eV/f.u.

=====

5.
# K2BaZr

A relaxed structure of K2BaZr (PBE-GGA, Alexandria via LeMat-Bulk).

Structure (CIF):
```
data_K2BaZr
_cell_length_a 7.8840
_cell_length_b 7.8840
_cell_length_c 3.6228
_cell_angle_alpha 90.00
_cell_angle_beta 90.00
_cell_angle_gamma 124.55
_space_group_name_H-M_alt 'P 1'
_space_group_IT_number 1
loop_
_space_group_symop_operation_xyz
'x,y,z'
loop_
_atom_site_label
_atom_site_type_symbol
_atom_site_fract_x
_atom_site_fract_y
_atom_site_fract_z
K1 K 0.0000 0.0000 0.0000
Ba1 Ba 0.0000 0.5000 0.5000
K2 K 0.5000 0.5000 0.0000
Zr1 Zr 0.5000 0.0000 0.5000
```

**Calculated formation energy**: 0.811 eV/atom
**Density of states at the Fermi level**: 6.05 states/eV/f.u.

=====

6.
# NaCrPS2

A relaxed structure of NaCrPS2 (PBE-GGA, Alexandria via LeMat-Bulk).

Structure (CIF):
```
data_NaCrPS2
_cell_length_a 4.7655
_cell_length_b 4.7655
_cell_length_c 4.7026
_cell_angle_alpha 90.00
_cell_angle_beta 90.00
_cell_angle_gamma 90.00
_space_group_name_H-M_alt 'P 1'
_space_group_IT_number 1
loop_
_space_group_symop_operation_xyz
'x,y,z'
loop_
_atom_site_label
_atom_site_type_symbol
_atom_site_fract_x
_atom_site_fract_y
_atom_site_fract_z
Na1 Na 0.0000 0.0000 0.0000
P1 P 0.0000 0.0000 0.5000
S1 S 0.0000 0.5000 0.0000
Cr1 Cr 0.5000 0.5000 0.5000
S2 S 0.5000 0.0000 0.0000
```

**Formation energy from raw total energies**: 1.615 eV per atom
**Density of states at the Fermi level**: 5.83 states/eV/f.u.